Arrangement w

## PNCl2 (SCAN)

Data for a PBEsol-optimized structure of PNCl2.

- size of the total moment (Bohr magnetons per cell) = 0.0
- volume (Å³/f.u.) = 94.92

```
data_PNCl2
_chemical_formula_sum 'P8 N8 Cl16'
_space_group_name_H-M_alt 'P 42/n'
_space_group_IT_number 86
_cell_length_a 11.219
_cell_length_b 11.219
_cell_length_c 6.033
_cell_angle_alpha 90.00
_cell_angle_beta 90.00
_cell_angle_gamma 90.00
loop_
_space_group_symop_operation_xyz
'x,y,z'
'-x,-y,-z'
'-y,x+1/2,z+1/2'
'y,-x+1/2,-z+1/2'
'-x+1/2,-y+1/2,z'
'x+1/2,y+1/2,-z'
'y+1/2,-x,z+1/2'
'-y+1/2,x,-z+1/2'
loop_
_atom_site_label
_atom_site_type_symbol
_atom_site_fract_x
_atom_site_fract_y
_atom_site_fract_z
P1 P 0.080 0.292 0.193
N1 N 0.118 0.158 0.166
Cl1 Cl 0.052 0.352 0.884
Cl2 Cl 0.083 0.700 0.671
```

Arrangement x

## PNCl2 (SCAN)

Data for a PBEsol-optimized structure of PNCl2.

- size of the total moment (Bohr magnetons per cell) = 0.0
- volume (Å³/f.u.) = 101.75

```
data_PNCl2
_chemical_formula_sum 'P12 N12 Cl24'
_space_group_name_H-M_alt 'P n m a'
_space_group_IT_number 62
_space_group_name_Hall '-P 2ac 2n'
_cell_length_a 14.495
_cell_length_b 13.214
_cell_length_c 6.375
_cell_angle_alpha 90.00
_cell_angle_beta 90.00
_cell_angle_gamma 90.00
loop_
_atom_site_label
_atom_site_type_symbol
_atom_site_fract_x
_atom_site_fract_y
_atom_site_fract_z
P1 P 0.057 0.250 0.067
P2 P 0.095 0.645 0.082
N1 N 0.004 0.146 0.022
N2 N 0.146 0.750 0.125
Cl1 Cl 0.090 0.567 0.352
Cl2 Cl 0.100 0.250 0.365
Cl3 Cl 0.176 0.250 0.909
Cl4 Cl 0.179 0.559 0.908
```

Of them, the most stable is arrangement w and the least stable is arrangement x.

Arrangement w

## NaCl3 (SCAN)

Data for a PBEsol-optimized structure of NaCl3.

- size of the total moment (Bohr magnetons per cell) = 0.0
- volume (Å³/f.u.) = 116.33

```
data_NaCl3
_chemical_formula_sum 'Na3 Cl9'
_space_group_name_H-M_alt 'R -3 m'
_space_group_IT_number 166
_space_group_name_Hall '-R 3 2"'
_cell_length_a 4.3557
_cell_length_b 4.3557
_cell_length_c 21.2418
_cell_angle_alpha 90.00
_cell_angle_beta 90.00
_cell_angle_gamma 120.00
loop_
_atom_site_label
_atom_site_type_symbol
_atom_site_fract_x
_atom_site_fract_y
_atom_site_fract_z
Na1 Na 0.0000 0.0000 0.0000
Cl1 Cl 0.0000 0.0000 0.3930
Cl2 Cl 0.0000 0.0000 0.5000
```

Arrangement x

## NaCl3 (SCAN)

Data for a PBEsol-optimized structure of NaCl3.

- size of the total moment (Bohr magnetons per cell) = 0.0
- volume (Å³/f.u.) = 92.03

```
data_NaCl3
_chemical_formula_sum 'Na4 Cl12'
_space_group_name_H-M_alt 'P n m a'
_space_group_IT_number 62
_space_group_name_Hall '-P 2ac 2n'
_cell_length_a 8.290
_cell_length_b 5.617
_cell_length_c 7.905
_cell_angle_alpha 90.00
_cell_angle_beta 90.00
_cell_angle_gamma 90.00
loop_
_atom_site_label
_atom_site_type_symbol
_atom_site_fract_x
_atom_site_fract_y
_atom_site_fract_z
Na1 Na 0.179 0.250 0.042
Cl1 Cl 0.078 0.750 0.283
Cl2 Cl 0.126 0.250 0.547
Cl3 Cl 0.145 0.750 0.853
```

Of them, the most stable is arrangement w and the least stable is arrangement x.

Arrangement w

## NaPOsCl2 (SCAN)

Data for a PBEsol-optimized structure of NaPOsCl2.

- size of the total moment (Bohr magnetons per cell) = 0.0
- volume (Å³/f.u.) = 111.37

```
data_NaPOsCl2
_chemical_formula_sum 'Na1 P1 Os1 Cl2'
_space_group_name_H-M_alt 'P 4/m m m'
_space_group_IT_number 123
_space_group_name_Hall '-P 4 2'
_cell_length_a 5.026
_cell_length_b 5.026
_cell_length_c 4.408
_cell_angle_alpha 90.00
_cell_angle_beta 90.00
_cell_angle_gamma 90.00
loop_
_atom_site_label
_atom_site_type_symbol
_atom_site_fract_x
_atom_site_fract_y
_atom_site_fract_z
Na1 Na 0.000 0.000 0.000
P1 P 0.500 0.500 0.000
Os1 Os 0.500 0.500 0.500
Cl1 Cl 0.000 0.500 0.500
```

Arrangement x

## NaPOsCl2 (SCAN)

Data for a PBEsol-optimized structure of NaPOsCl2.

- size of the total moment (Bohr magnetons per cell) = 5.3
- volume (Å³/f.u.) = 111.99

```
data_NaPOsCl2
_chemical_formula_sum 'Na1 P1 Os1 Cl2'
_space_group_name_H-M_alt 'P 4/m m m'
_space_group_IT_number 123
_space_group_name_Hall '-P 4 2'
_cell_length_a 4.598
_cell_length_b 4.598
_cell_length_c 5.296
_cell_angle_alpha 90.00
_cell_angle_beta 90.00
_cell_angle_gamma 90.00
loop_
_atom_site_label
_atom_site_type_symbol
_atom_site_fract_x
_atom_site_fract_y
_atom_site_fract_z
Na1 Na 0.000 0.000 0.000
P1 P 0.000 0.000 0.500
Os1 Os 0.500 0.500 0.500
Cl1 Cl 0.000 0.500 0.000
```

Of them, the most stable is arrangement w and the least stable is arrangement x.

Arrangement w

## NaTlCl2 (SCAN)

Data for a PBEsol-optimized structure of NaTlCl2.

- size of the total moment (Bohr magnetons per cell) = 0.0
- volume (Å³/f.u.) = 157.01

```
data_NaTlCl2
_chemical_formula_sum 'Na3 Tl3 Cl6'
_space_group_name_H-M_alt 'R -3 m'
_space_group_IT_number 166
_space_group_name_Hall '-R 3 2"'
_cell_length_a 4.6773
_cell_length_b 4.6773
_cell_length_c 24.8615
_cell_angle_alpha 90.00
_cell_angle_beta 90.00
_cell_angle_gamma 120.00
loop_
_atom_site_label
_atom_site_type_symbol
_atom_site_fract_x
_atom_site_fract_y
_atom_site_fract_z
Na1 Na 0.0000 0.0000 0.0000
Tl1 Tl 0.0000 0.0000 0.5000
Cl1 Cl 0.0000 0.0000 0.0996
```

Arrangement x

## NaTlCl2 (SCAN)

Data for a PBEsol-optimized structure of NaTlCl2.

- size of the total moment (Bohr magnetons per cell) = 0.0
- volume (Å³/f.u.) = 140.92

```
data_NaTlCl2
_chemical_formula_sum 'Na4 Tl4 Cl8'
_space_group_name_H-M_alt 'I -4 2 d'
_space_group_IT_number 122
_space_group_name_Hall 'I -4 2bw'
_cell_length_a 6.674
_cell_length_b 6.674
_cell_length_c 12.654
_cell_angle_alpha 90.00
_cell_angle_beta 90.00
_cell_angle_gamma 90.00
loop_
_atom_site_label
_atom_site_type_symbol
_atom_site_fract_x
_atom_site_fract_y
_atom_site_fract_z
Na1 Na 0.000 0.000 0.000
Tl1 Tl 0.000 0.000 0.500
Cl1 Cl 0.205 0.250 0.125
```

Of them, the most stable is arrangement x and the least stable is arrangement w.